No. 1
The following is a DFT calculation (PBE) of Tb3Nd2Ho5 after structural relaxation.

Computed properties:
final energy: -4.22 eV per atom
calculated formation energy: 0.407 eV/atom
DOS(E_F): 1.590 states/eV per atom
relative energy among the computed polymorphs: 2.14 eV per formula unit

Structure (CIF):
```
data_Tb3Nd2Ho5
_chemical_formula_sum 'Tb12 Nd8 Ho20'
_space_group_name_H-M_alt 'I b a m'
_space_group_IT_number 72
_space_group_name_Hall '-I 2 2c'
_cell_length_a 9.381
_cell_length_b 21.721
_cell_length_c 6.798
_cell_angle_alpha 90.00
_cell_angle_beta 90.00
_cell_angle_gamma 90.00
loop_
_atom_site_label
_atom_site_fract_x
_atom_site_fract_y
_atom_site_fract_z
Tb1 0.000 0.000 0.250
Tb2 0.249 0.373 0.000
Nd1 0.102 0.125 0.000
Ho1 0.000 0.251 0.250
Ho2 0.000 0.500 0.250
Ho3 0.088 0.375 0.500
```


No. 2
The following is a DFT calculation (PBE) of CaSi2Os after structural relaxation.

Computed properties:
final energy: -5.73 eV per atom
DOS(E_F): 0.351 states/eV per atom
formation energy (no corrections): 0.293 eV/atom

Structure (CIF):
```
data_CaSi2Os
_chemical_formula_sum 'Ca2 Si4 Os2'
_space_group_name_H-M_alt 'C 1 2/m 1'
_space_group_IT_number 12
_cell_length_a 5.614
_cell_length_b 7.632
_cell_length_c 3.099
_cell_angle_alpha 90.00
_cell_angle_beta 99.60
_cell_angle_gamma 90.00
loop_
_space_group_symop_operation_xyz
'x,y,z'
'-x,-y,-z'
'-x,y,-z'
'x,-y,z'
'x+1/2,y+1/2,z'
'-x+1/2,-y+1/2,-z'
'-x+1/2,y+1/2,-z'
'x+1/2,-y+1/2,z'
loop_
_atom_site_label
_atom_site_fract_x
_atom_site_fract_y
_atom_site_fract_z
Ca1 0.000 0.000 0.000
Si1 0.250 0.250 0.500
Os1 0.000 0.500 0.000
```


No. 3
The following is a DFT calculation (PBE) of Y2MnSi2 after structural relaxation.

Computed properties:
final energy: -5.74 eV per atom
DOS(E_F): 1.367 states/eV per atom
formation energy (no corrections): 0.844 eV/atom

Structure (CIF):
```
data_Y2MnSi2
_chemical_formula_sum 'Y2 Mn1 Si2'
_space_group_name_H-M_alt 'P 4/m m m'
_space_group_IT_number 123
_space_group_name_Hall '-P 4 2'
_cell_length_a 2.942
_cell_length_b 2.942
_cell_length_c 13.785
_cell_angle_alpha 90.00
_cell_angle_beta 90.00
_cell_angle_gamma 90.00
loop_
_atom_site_label
_atom_site_fract_x
_atom_site_fract_y
_atom_site_fract_z
Y1 0.000 0.000 0.124
Mn1 0.000 0.000 0.500
Si1 0.000 0.000 0.327
```


No. 4
The following is a DFT calculation (PBE) of Pm2NF after structural relaxation.

Computed properties:
final energy: -6.67 eV per atom
DOS(E_F): 0.368 states/eV per atom
formation energy (no corrections): -1.744 eV/atom
relative energy among the computed polymorphs: 1.17 eV per formula unit

Structure (CIF):
```
data_Pm2NF
_chemical_formula_sum 'Pm4 N2 F2'
_space_group_name_H-M_alt 'P m m n'
_space_group_IT_number 59
_cell_length_a 3.520
_cell_length_b 6.311
_cell_length_c 6.264
_cell_angle_alpha 90.00
_cell_angle_beta 90.00
_cell_angle_gamma 90.00
loop_
_space_group_symop_operation_xyz
'x,y,z'
'-x,-y,-z'
'-x+1/2,-y+1/2,z'
'x+1/2,y+1/2,-z'
'x+1/2,-y,-z'
'-x+1/2,y,z'
'-x,y+1/2,-z'
'x,-y+1/2,z'
loop_
_atom_site_label
_atom_site_fract_x
_atom_site_fract_y
_atom_site_fract_z
Pm1 0.250 0.005 0.221
N1 0.250 0.750 0.898
F1 0.250 0.250 0.571
```


No. 5
The following is a DFT calculation (PBE) of SmHoBiAs after structural relaxation.

Computed properties:
final energy: -5.55 eV per atom
calculated formation energy: -1.096 eV/atom
DOS(E_F): 0.361 states/eV per atom

Structure (CIF):
```
data_SmHoBiAs
_chemical_formula_sum 'Sm3 Ho3 Bi3 As3'
_space_group_name_H-M_alt 'R 3 m'
_space_group_IT_number 160
_space_group_name_Hall 'R 3 -2"'
_cell_length_a 4.2637
_cell_length_b 4.2637
_cell_length_c 22.1699
_cell_angle_alpha 90.00
_cell_angle_beta 90.00
_cell_angle_gamma 120.00
loop_
_atom_site_label
_atom_site_fract_x
_atom_site_fract_y
_atom_site_fract_z
Sm1 0.0000 0.0000 0.0000
Ho1 0.0000 0.0000 0.1854
Bi1 0.0000 0.0000 0.7621
As1 0.0000 0.0000 0.5885
```


No. 6
The following is a DFT calculation (PBE) of BaNa2PdAu after structural relaxation.

Computed properties:
final energy: -1.83 eV per atom
calculated formation energy: 0.776 eV/atom
DOS(E_F): 1.967 states/eV per atom

Structure (CIF):
```
data_BaNa2PdAu
_chemical_formula_sum 'Ba1 Na2 Pd1 Au1'
_space_group_name_H-M_alt 'P 4/m m m'
_space_group_IT_number 123
_space_group_name_Hall '-P 4 2'
_cell_length_a 6.839
_cell_length_b 6.839
_cell_length_c 5.385
_cell_angle_alpha 90.00
_cell_angle_beta 90.00
_cell_angle_gamma 90.00
loop_
_atom_site_label
_atom_site_fract_x
_atom_site_fract_y
_atom_site_fract_z
Ba1 0.000 0.000 0.000
Na1 0.000 0.500 0.000
Pd1 0.000 0.000 0.500
Au1 0.500 0.500 0.500
```


No. 7
The following is a DFT calculation (PBE) of SmTm2Hg6 after structural relaxation.

Computed properties:
final energy: -1.87 eV per atom
calculated formation energy: -0.152 eV/atom
DOS(E_F): 0.649 states/eV per atom
relative energy among the computed polymorphs: 2.09 eV per formula unit

Structure (CIF):
```
data_SmTm2Hg6
_chemical_formula_sum 'Sm2 Tm4 Hg12'
_space_group_name_H-M_alt 'I 4/m m m'
_space_group_IT_number 139
_space_group_name_Hall '-I 4 2'
_cell_length_a 4.490
_cell_length_b 4.490
_cell_length_c 25.715
_cell_angle_alpha 90.00
_cell_angle_beta 90.00
_cell_angle_gamma 90.00
loop_
_atom_site_label
_atom_site_fract_x
_atom_site_fract_y
_atom_site_fract_z
Sm1 0.000 0.000 0.000
Tm1 0.000 0.000 0.331
Hg1 0.000 0.500 0.087
Hg2 0.000 0.500 0.250
```


No. 8
The following is a DFT calculation (PBE) of MgSI2N after structural relaxation.

Computed properties:
final energy: -2.83 eV per atom
DOS(E_F): 0.325 states/eV per atom
formation energy (no corrections): 0.601 eV/atom
relative energy among the computed polymorphs: 0.00 eV per formula unit

Structure (CIF):
```
data_MgSI2N
_chemical_formula_sum 'Mg1 S1 I2 N1'
_space_group_name_H-M_alt 'P 4/m m m'
_space_group_IT_number 123
_space_group_name_Hall '-P 4 2'
_cell_length_a 5.986
_cell_length_b 5.986
_cell_length_c 3.505
_cell_angle_alpha 90.00
_cell_angle_beta 90.00
_cell_angle_gamma 90.00
loop_
_atom_site_label
_atom_site_fract_x
_atom_site_fract_y
_atom_site_fract_z
Mg1 0.000 0.000 0.000
S1 0.500 0.500 0.500
I1 0.000 0.500 0.500
N1 0.500 0.500 0.000
```


Copy entry 7 word for word.
The following is a DFT calculation (PBE) of SmTm2Hg6 after structural relaxation.

Computed properties:
final energy: -1.87 eV per atom
calculated formation energy: -0.152 eV/atom
DOS(E_F): 0.649 states/eV per atom
relative energy among the computed polymorphs: 2.09 eV per formula unit

Structure (CIF):
```
data_SmTm2Hg6
_chemical_formula_sum 'Sm2 Tm4 Hg12'
_space_group_name_H-M_alt 'I 4/m m m'
_space_group_IT_number 139
_space_group_name_Hall '-I 4 2'
_cell_length_a 4.490
_cell_length_b 4.490
_cell_length_c 25.715
_cell_angle_alpha 90.00
_cell_angle_beta 90.00
_cell_angle_gamma 90.00
loop_
_atom_site_label
_atom_site_fract_x
_atom_site_fract_y
_atom_site_fract_z
Sm1 0.000 0.000 0.000
Tm1 0.000 0.000 0.331
Hg1 0.000 0.500 0.087
Hg2 0.000 0.500 0.250
```


Please write out number 6 again, unchanged.
The following is a DFT calculation (PBE) of BaNa2PdAu after structural relaxation.

Computed properties:
final energy: -1.83 eV per atom
calculated formation energy: 0.776 eV/atom
DOS(E_F): 1.967 states/eV per atom

Structure (CIF):
```
data_BaNa2PdAu
_chemical_formula_sum 'Ba1 Na2 Pd1 Au1'
_space_group_name_H-M_alt 'P 4/m m m'
_space_group_IT_number 123
_space_group_name_Hall '-P 4 2'
_cell_length_a 6.839
_cell_length_b 6.839
_cell_length_c 5.385
_cell_angle_alpha 90.00
_cell_angle_beta 90.00
_cell_angle_gamma 90.00
loop_
_atom_site_label
_atom_site_fract_x
_atom_site_fract_y
_atom_site_fract_z
Ba1 0.000 0.000 0.000
Na1 0.000 0.500 0.000
Pd1 0.000 0.000 0.500
Au1 0.500 0.500 0.500
```


> Among the records above, which one has the lowest final energy?

Pm2NF


> What is the DOS(E_F) in the fifth record?

0.361 states/eV per atom